A plane-wave DFT calculation with PBE-GGA was carried out for a relaxed structure of La2TlTc.

CIF file:
```
data_La2TlTc
_chemical_formula_sum 'La4 Tl2 Tc2'
_symmetry_space_group_name_H-M 'I m m m'
_symmetry_Int_Tables_number 71
_symmetry_space_group_name_Hall '-I 2 2'
_cell_length_a 4.257
_cell_length_b 5.594
_cell_length_c 9.154
_cell_angle_alpha 90.00
_cell_angle_beta 90.00
_cell_angle_gamma 90.00
loop_
_atom_site_label
_atom_site_fract_x
_atom_site_fract_y
_atom_site_fract_z
La1 0.000 0.000 0.203
Tl1 0.000 0.500 0.000
Tc1 0.000 0.500 0.500
```

Summary:
- Formation energy from the elements: 49 meV per atom
- Uncorrected energy: -5.598 eV/atom
- Crystal system: orthorhombic


A plane-wave DFT calculation with PBE-GGA was carried out for a relaxed structure of LaPm2Rh.

CIF file:
```
data_LaPm2Rh
_chemical_formula_sum 'La3 Pm6 Rh3'
_symmetry_space_group_name_H-M 'R 3 m'
_symmetry_Int_Tables_number 160
_symmetry_space_group_name_Hall 'R 3 -2"'
_cell_length_a 3.9770
_cell_length_b 3.9770
_cell_length_c 28.3447
_cell_angle_alpha 90.00
_cell_angle_beta 90.00
_cell_angle_gamma 120.00
loop_
_atom_site_label
_atom_site_fract_x
_atom_site_fract_y
_atom_site_fract_z
La1 0.0000 0.0000 0.0000
Pm1 0.0000 0.0000 0.2253
Pm2 0.0000 0.0000 0.4442
Rh1 0.0000 0.0000 0.8349
```

Summary:
- Formation energy from the elements: -308 meV per atom
- Excess energy over the best structure of this formula in the dataset: 0.144 eV per atom
- Uncorrected energy: -5.753 eV/atom
- Crystal system: trigonal


A plane-wave DFT calculation with PBE-GGA was carried out for a relaxed structure of Na2AcTbO4.

CIF file:
```
data_Na2AcTbO4
_chemical_formula_sum 'Na2 Ac1 Tb1 O4'
_symmetry_space_group_name_H-M 'P 1 2/m 1'
_symmetry_Int_Tables_number 10
_cell_length_a 6.052
_cell_length_b 3.616
_cell_length_c 6.337
_cell_angle_alpha 90.00
_cell_angle_beta 110.99
_cell_angle_gamma 90.00
loop_
_symmetry_equiv_pos_as_xyz
'x,y,z'
'-x,-y,-z'
'-x,y,-z'
'x,-y,z'
loop_
_atom_site_label
_atom_site_fract_x
_atom_site_fract_y
_atom_site_fract_z
Na1 0.000 0.000 0.000
Na2 0.000 0.500 0.500
Ac1 0.500 0.000 0.500
Tb1 0.500 0.500 0.000
O1 0.283 0.500 0.237
O2 0.286 0.000 0.775
```

Summary:
- Uncorrected energy: -6.516 eV/atom
- Crystal system: monoclinic
- Uncorrected formation energy: -2.62 eV per atom


A plane-wave DFT calculation with PBE-GGA was carried out for a relaxed structure of Ce6CdGa2.

CIF file:
```
data_Ce6CdGa2
_chemical_formula_sum 'Ce12 Cd2 Ga4'
_symmetry_space_group_name_H-M 'I m m m'
_symmetry_Int_Tables_number 71
_symmetry_space_group_name_Hall '-I 2 2'
_cell_length_a 3.029
_cell_length_b 8.670
_cell_length_c 16.239
_cell_angle_alpha 90.00
_cell_angle_beta 90.00
_cell_angle_gamma 90.00
loop_
_atom_site_label
_atom_site_fract_x
_atom_site_fract_y
_atom_site_fract_z
Ce1 0.000 0.157 0.000
Ce2 0.000 0.336 0.167
Cd1 0.000 0.000 0.500
Ga1 0.000 0.500 0.344
```

Summary:
- Formation energy from the elements: -160 meV per atom
- Excess energy over the best structure of this formula in the dataset: 0.061 eV per atom
- Uncorrected energy: -4.890 eV/atom
- Crystal system: orthorhombic


A plane-wave DFT calculation with PBE-GGA was carried out for a relaxed structure of RbAgSb.

CIF file:
```
data_RbAgSb
_chemical_formula_sum 'Rb2 Ag2 Sb2'
_symmetry_space_group_name_H-M 'P -1'
_symmetry_Int_Tables_number 2
_cell_length_a 4.883
_cell_length_b 4.885
_cell_length_c 12.332
_cell_angle_alpha 89.65
_cell_angle_beta 89.68
_cell_angle_gamma 60.05
loop_
_symmetry_equiv_pos_as_xyz
'x,y,z'
'-x,-y,-z'
loop_
_atom_site_label
_atom_site_fract_x
_atom_site_fract_y
_atom_site_fract_z
Rb1 0.169 0.174 0.191
Ag1 0.166 0.161 0.619
Sb1 0.499 0.495 0.614
```

Summary:
- Excess energy over the best structure of this formula in the dataset: 0.090 eV per atom
- Uncorrected energy: -2.759 eV/atom
- Crystal system: triclinic
- Uncorrected formation energy: -0.11 eV per atom


A plane-wave DFT calculation with PBE-GGA was carried out for a relaxed structure of KTcRu2.

CIF file:
```
data_KTcRu2
_chemical_formula_sum 'K3 Tc3 Ru6'
_symmetry_space_group_name_H-M 'R -3 m'
_symmetry_Int_Tables_number 166
_symmetry_space_group_name_Hall '-R 3 2"'
_cell_length_a 2.7987
_cell_length_b 2.7987
_cell_length_c 30.3088
_cell_angle_alpha 90.00
_cell_angle_beta 90.00
_cell_angle_gamma 120.00
loop_
_atom_site_label
_atom_site_fract_x
_atom_site_fract_y
_atom_site_fract_z
K1 0.0000 0.0000 0.0000
Tc1 0.0000 0.0000 0.5000
Ru1 0.0000 0.0000 0.2358
```

Summary:
- Formation energy from the elements: 648 meV per atom
- Excess energy over the best structure of this formula in the dataset: 0.000 eV per atom
- Uncorrected energy: -6.856 eV/atom
- Crystal system: trigonal


A plane-wave DFT calculation with PBE-GGA was carried out for a relaxed structure of PrGdYMg.

CIF file:
```
data_PrGdYMg
_chemical_formula_sum 'Pr4 Gd4 Y4 Mg4'
_symmetry_space_group_name_H-M 'F -4 3 m'
_symmetry_Int_Tables_number 216
_symmetry_space_group_name_Hall 'F -4 2 3'
_cell_length_a 7.916
_cell_length_b 7.916
_cell_length_c 7.916
_cell_angle_alpha 90.00
_cell_angle_beta 90.00
_cell_angle_gamma 90.00
loop_
_atom_site_label
_atom_site_fract_x
_atom_site_fract_y
_atom_site_fract_z
Pr1 0.000 0.000 0.000
Gd1 0.250 0.250 0.250
Y1 0.000 0.000 0.500
Mg1 0.250 0.250 0.750
```

Summary:
- Formation energy from the elements: 35 meV per atom
- Uncorrected energy: -6.694 eV/atom
- Crystal system: cubic


A plane-wave DFT calculation with PBE-GGA was carried out for a relaxed structure of LiAcAlAu6.

CIF file:
```
data_LiAcAlAu6
_chemical_formula_sum 'Li4 Ac4 Al4 Au24'
_symmetry_space_group_name_H-M 'I m m a'
_symmetry_Int_Tables_number 74
_symmetry_space_group_name_Hall '-I 2b 2'
_cell_length_a 7.471
_cell_length_b 9.399
_cell_length_c 10.937
_cell_angle_alpha 90.00
_cell_angle_beta 90.00
_cell_angle_gamma 90.00
loop_
_atom_site_label
_atom_site_fract_x
_atom_site_fract_y
_atom_site_fract_z
Li1 0.250 0.250 0.250
Ac1 0.000 0.250 0.728
Al1 0.000 0.000 0.500
Au1 0.000 0.250 0.042
Au2 0.000 0.250 0.420
Au3 0.204 0.001 0.127
```

Summary:
- Formation energy from the elements: -382 meV per atom
- Uncorrected energy: -3.652 eV/atom
- Crystal system: orthorhombic


A plane-wave DFT calculation with PBE-GGA was carried out for a relaxed structure of P2Rh2Au.

CIF file:
```
data_P2Rh2Au
_chemical_formula_sum 'P4 Rh4 Au2'
_symmetry_space_group_name_H-M 'P 4/m b m'
_symmetry_Int_Tables_number 127
_symmetry_space_group_name_Hall '-P 4 2ab'
_cell_length_a 7.082
_cell_length_b 7.082
_cell_length_c 2.933
_cell_angle_alpha 90.00
_cell_angle_beta 90.00
_cell_angle_gamma 90.00
loop_
_atom_site_label
_atom_site_fract_x
_atom_site_fract_y
_atom_site_fract_z
P1 0.144 0.356 0.000
Rh1 0.142 0.642 0.500
Au1 0.000 0.000 0.000
```

Summary:
- Formation energy from the elements: -134 meV per atom
- Excess energy over the best structure of this formula in the dataset: 0.097 eV per atom
- Uncorrected energy: -5.894 eV/atom
- Crystal system: tetragonal


A plane-wave DFT calculation with PBE-GGA was carried out for a relaxed structure of Li2PuIn6.

CIF file:
```
data_Li2PuIn6
_chemical_formula_sum 'Li4 Pu2 In12'
_symmetry_space_group_name_H-M 'C 1 2/m 1'
_symmetry_Int_Tables_number 12
_cell_length_a 11.478
_cell_length_b 8.431
_cell_length_c 5.167
_cell_angle_alpha 90.00
_cell_angle_beta 116.31
_cell_angle_gamma 90.00
loop_
_symmetry_equiv_pos_as_xyz
'x,y,z'
'-x,-y,-z'
'-x,y,-z'
'x,-y,z'
'x+1/2,y+1/2,z'
'-x+1/2,-y+1/2,-z'
'-x+1/2,y+1/2,-z'
'x+1/2,-y+1/2,z'
loop_
_atom_site_label
_atom_site_fract_x
_atom_site_fract_y
_atom_site_fract_z
Li1 0.171 0.000 0.171
Pu1 0.000 0.500 0.500
In1 0.000 0.277 0.000
In2 0.180 0.175 0.680
```

Summary:
- Formation energy from the elements: -53 meV per atom
- Uncorrected energy: -3.896 eV/atom
- Crystal system: monoclinic


A plane-wave DFT calculation with PBE-GGA was carried out for a relaxed structure of TmTcB4.

CIF file:
```
data_TmTcB4
_chemical_formula_sum 'Tm4 Tc4 B16'
_symmetry_space_group_name_H-M 'P b a m'
_symmetry_Int_Tables_number 55
_cell_length_a 5.935
_cell_length_b 11.479
_cell_length_c 3.578
_cell_angle_alpha 90.00
_cell_angle_beta 90.00
_cell_angle_gamma 90.00
loop_
_symmetry_equiv_pos_as_xyz
'x,y,z'
'-x,-y,-z'
'-x,-y,z'
'x,y,-z'
'x+1/2,-y+1/2,-z'
'-x+1/2,y+1/2,z'
'-x+1/2,y+1/2,-z'
'x+1/2,-y+1/2,z'
loop_
_atom_site_label
_atom_site_fract_x
_atom_site_fract_y
_atom_site_fract_z
Tm1 0.128 0.150 0.000
Tc1 0.134 0.412 0.000
B1 0.022 0.693 0.500
B2 0.114 0.548 0.500
B3 0.135 0.969 0.500
B4 0.211 0.815 0.500
```

Summary:
- Formation energy from the elements: -652 meV per atom
- Excess energy over the best structure of this formula in the dataset: 0.000 eV per atom
- Uncorrected energy: -7.576 eV/atom
- Crystal system: orthorhombic


A plane-wave DFT calculation with PBE-GGA was carried out for a relaxed structure of H3IF.

CIF file:
```
data_H3IF
_chemical_formula_sum 'H3 I1 F1'
_symmetry_space_group_name_H-M 'P m -3 m'
_symmetry_Int_Tables_number 221
_symmetry_space_group_name_Hall '-P 4 2 3'
_cell_length_a 3.711
_cell_length_b 3.711
_cell_length_c 3.711
_cell_angle_alpha 90.00
_cell_angle_beta 90.00
_cell_angle_gamma 90.00
loop_
_atom_site_label
_atom_site_fract_x
_atom_site_fract_y
_atom_site_fract_z
H1 0.000 0.000 0.500
I1 0.500 0.500 0.500
F1 0.000 0.000 0.000
```

Summary:
- Excess energy over the best structure of this formula in the dataset: 0.553 eV per atom
- Uncorrected energy: -1.931 eV/atom
- Crystal system: cubic


- The lowest uncorrected energy belongs to which entry?
  TmTcB4